DFT (GGA+U) results for an optimized crystal structure of V2ReRhF.

Geometry as extended XYZ:
```
5
Lattice="5.047 0.000 0.000 0.000 4.608 0.000 0.000 0.000 5.047" Properties=species:S:1:pos:R:3 pbc="T T T"
F 2.523 2.304 2.523
Re 0.000 2.304 0.000
V 0.000 0.000 2.523
V 2.523 0.000 0.000
Rh 0.000 0.000 0.000
```

Values from the calculation:
* calculated total energy: -29.8 eV/cell
* spin magnetization: 3.087 μB per formula unit
* N(E_F): 0.4054 states/eV/atom